This record from Alexandria describes a geometry-optimized RbLiCoBr4 structure. The functional is PBE-GGA.

Values from the calculation:
The density comes out at 3.24 g/cm³. Its space-group type is P2_1/m. The value obtained for the total moment is 3.00 μB per formula unit. The value obtained for the total energy is -3.442 eV per atom. The formation energy (no corrections) is -102 kJ per mole of atoms.

Cell: 6.4266 8.3340 9.3277 Å, 90.00 104.94 90.00°
Positions (direct):
Rb1 0.7673 0.7500 0.8984
Rb2 0.2327 0.2500 0.1016
Li1 0.6950 0.7500 0.3231
Li2 0.3050 0.2500 0.6769
Co1 0.1876 0.7500 0.3021
Co2 0.8124 0.2500 0.6979
Br1 0.0572 0.4732 0.7311
Br2 0.9428 0.9732 0.2689
Br3 0.9428 0.5268 0.2689
Br4 0.0572 0.0268 0.7311
Br5 0.3566 0.7500 0.0965
Br6 0.6434 0.2500 0.9035
Br7 0.4840 0.7500 0.5166
Br8 0.5160 0.2500 0.4834